(1)
CaLa6Nd | PBE-GGA | relaxed

Calculated volume: 37.1 Å³ per atom
Fermi-level density of states: 1.600 states/eV per atom
Final energy: -4.5107 eV per atom
Magnetization: 0.000 μB/atom

```
data_CaLa6Nd
_chemical_formula_sum 'Ca1 La6 Nd1'
_space_group_name_H-M_alt 'P 4/m m m'
_space_group_IT_number 123
_space_group_name_Hall '-P 4 2'
_cell_length_a 5.300
_cell_length_b 5.300
_cell_length_c 10.554
_cell_angle_alpha 90.00
_cell_angle_beta 90.00
_cell_angle_gamma 90.00
loop_
_atom_site_label
_atom_site_type_symbol
_atom_site_fract_x
_atom_site_fract_y
_atom_site_fract_z
Ca1 Ca 0.000 0.000 0.000
La1 La 0.000 0.500 0.257
La2 La 0.500 0.500 0.000
La3 La 0.500 0.500 0.500
Nd1 Nd 0.000 0.000 0.500
```

(2)
Dy3Tm5In2 | PBE-GGA | relaxed

Calculated volume: 30.7 Å³ per atom
Fermi-level density of states: 1.268 states/eV per atom
Final energy: -4.0638 eV per atom
Magnetization: 0.000 μB/atom

```
data_Dy3Tm5In2
_chemical_formula_sum 'Dy12 Tm20 In8'
_space_group_name_H-M_alt 'I b a m'
_space_group_IT_number 72
_space_group_name_Hall '-I 2 2c'
_cell_length_a 12.592
_cell_length_b 15.517
_cell_length_c 6.280
_cell_angle_alpha 90.00
_cell_angle_beta 90.00
_cell_angle_gamma 90.00
loop_
_atom_site_label
_atom_site_type_symbol
_atom_site_fract_x
_atom_site_fract_y
_atom_site_fract_z
Dy1 Dy 0.000 0.000 0.250
Dy2 Dy 0.113 0.230 0.000
Tm1 Tm 0.000 0.500 0.250
Tm2 Tm 0.123 0.337 0.500
Tm3 Tm 0.248 0.500 0.250
In1 In 0.137 0.147 0.500
```

(3)
PrThTlSn | PBE-GGA | relaxed

Calculated volume: 29.8 Å³ per atom
Fermi-level density of states: 1.335 states/eV per atom
Final energy: -4.9823 eV per atom
Magnetization: 0.000 μB/atom

```
data_PrThTlSn
_chemical_formula_sum 'Pr4 Th4 Tl4 Sn4'
_space_group_name_H-M_alt 'F -4 3 m'
_space_group_IT_number 216
_space_group_name_Hall 'F -4 2 3'
_cell_length_a 7.809
_cell_length_b 7.809
_cell_length_c 7.809
_cell_angle_alpha 90.00
_cell_angle_beta 90.00
_cell_angle_gamma 90.00
loop_
_atom_site_label
_atom_site_type_symbol
_atom_site_fract_x
_atom_site_fract_y
_atom_site_fract_z
Pr1 Pr 0.000 0.000 0.000
Th1 Th 0.000 0.000 0.500
Tl1 Tl 0.250 0.250 0.250
Sn1 Sn 0.250 0.250 0.750
```

(4)
SnHg3Pd12 | PBE-GGA | relaxed

Calculated volume: 16.6 Å³ per atom
Fermi-level density of states: 1.230 states/eV per atom
Final energy: -4.4027 eV per atom
Magnetization: 0.000 μB/atom

```
data_SnHg3Pd12
_chemical_formula_sum 'Sn1 Hg3 Pd12'
_space_group_name_H-M_alt 'P 4/m m m'
_space_group_IT_number 123
_space_group_name_Hall '-P 4 2'
_cell_length_a 4.054
_cell_length_b 4.054
_cell_length_c 16.157
_cell_angle_alpha 90.00
_cell_angle_beta 90.00
_cell_angle_gamma 90.00
loop_
_atom_site_label
_atom_site_type_symbol
_atom_site_fract_x
_atom_site_fract_y
_atom_site_fract_z
Sn1 Sn 0.000 0.000 0.000
Hg1 Hg 0.000 0.000 0.249
Hg2 Hg 0.000 0.000 0.500
Pd1 Pd 0.000 0.500 0.122
Pd2 Pd 0.000 0.500 0.375
Pd3 Pd 0.500 0.500 0.000
Pd4 Pd 0.500 0.500 0.249
Pd5 Pd 0.500 0.500 0.500
```